Entry 1:
Material: Na3MoP
Method: DFT, PBE
State: relaxed

Unit cell a=5.7010 b=5.7010 c=5.7010 alpha=90.00 beta=90.00 gamma=90.00
Space group Pm-3m (No. 221)
Unique sites:
Na (0.0000, 0.0000, 0.5000) (multiplicity 3)
Mo (0.0000, 0.0000, 0.0000) (multiplicity 1)
P (0.5000, 0.5000, 0.5000) (multiplicity 1)

Output
crystal system: cubic
volume: 185.29 Å³/cell
energy of formation: 1526 meV/atom
energy above the lowest structure with this stoichiometry: 652 meV/atom


Entry 2:
Material: CrRu3
Method: DFT, PBE
State: relaxed

Unit cell a=8.8717 b=2.6888 c=4.6133 alpha=90.00 beta=100.59 gamma=90.00
Space group C2/m (No. 12)
Unique sites:
Cr (0.0000, 0.0000, 0.0000) (multiplicity 2)
Ru (0.0000, 0.5000, 0.5000) (multiplicity 2)
Ru (0.2471, 0.5000, 0.2453) (multiplicity 4)

Output
crystal system: monoclinic
volume: 108.17 Å³/cell
energy of formation: 112 meV/atom


Entry 3:
Material: BaAcLa2
Method: DFT, PBE
State: relaxed

Unit cell a=3.9386 b=3.9386 c=38.9947 alpha=90.00 beta=90.00 gamma=120.00
Space group R3m (No. 160, hexagonal axes)
Unique sites:
Ba (0.0000, 0.0000, 0.0000) (multiplicity 3)
Ac (0.0000, 0.0000, 0.8335) (multiplicity 3)
La (0.0000, 0.0000, 0.4209) (multiplicity 3)
La (0.0000, 0.0000, 0.5788) (multiplicity 3)

Output
crystal system: trigonal
volume: 523.86 Å³/cell
energy of formation: 106 meV/atom
energy above the lowest structure with this stoichiometry: 17 meV/atom


Entry 4:
Material: HPdPb2Se
Method: DFT, PBE
State: relaxed

Unit cell a=5.4612 b=5.4612 c=3.6073 alpha=90.00 beta=90.00 gamma=90.00
Space group P4/mmm (No. 123)
Unique sites:
H (0.0000, 0.0000, 0.0000) (multiplicity 1)
Pd (0.0000, 0.0000, 0.5000) (multiplicity 1)
Pb (0.0000, 0.5000, 0.5000) (multiplicity 2)
Se (0.5000, 0.5000, 0.0000) (multiplicity 1)

Output
crystal system: tetragonal
total energy: -20.12 eV/cell
volume: 107.59 Å³/cell